Entry 1:
This record from Alexandria via LeMat-Bulk describes a geometry-optimized CsRbSc2As structure. The functional is PBE.

Cell and atoms, written as POSCAR:
```
CsRbSc2As
1.0
5.5847 0.0000 0.0000
0.0000 5.5847 0.0000
0.0000 0.0000 6.1982
Cs Rb Sc As
1 1 2 1
direct
0.0000 0.0000 0.0000
0.5000 0.5000 0.5000
0.0000 0.5000 0.0000
0.5000 0.0000 0.0000
0.0000 0.0000 0.5000
```

## Properties
- formation energy from the elements (eV/atom) = 1.2677
- space group = P4/mmm
- total magnetization (μB/f.u.) = 1.14
- volume (A^3/atom) = 38.66



Entry 2:
This record from Alexandria via LeMat-Bulk describes a geometry-optimized CsRbAsSe2 structure. The functional is PBE.

Cell and atoms, written as POSCAR:
```
CsRbAsSe2
1.0
6.3901 0.0000 0.0000
0.0000 6.3901 0.0000
0.0000 0.0000 6.5738
Cs Rb As Se
1 1 1 2
direct
0.0000 0.0000 0.0000
0.5000 0.5000 0.5000
0.5000 0.5000 0.0000
0.0000 0.5000 0.5000
0.5000 0.0000 0.5000
```

## Properties
- space group = P4/mmm
- excess energy over the best structure of this formula in the dataset (meV per atom) = 860
- total magnetization (μB/f.u.) = 5.04
- volume (A^3/atom) = 53.69
- energy relative to the elements, uncorrected (eV per atom) = 0.344



Which value of total magnetization does entry 1 give? 1.14 μB/f.u.